Below is an optimized crystal structure of Y8Si3Te3S, with properties calculated at the PBE level.

```
Y8Si3Te3S
1.0
8.322 0.000 0.000
-4.161 7.207 -0.025
0.000 -4.780 7.000
Si S Y Te
3 1 8 3
Cartesian
4.161 -2.390 3.500
-2.080 1.214 3.487
2.080 1.214 3.487
0.000 -2.390 3.500
2.042 3.598 5.022
4.161 2.361 1.945
-2.042 3.598 5.022
0.000 2.412 1.952
0.000 0.067 5.030
4.161 0.016 5.023
6.203 -1.170 1.953
2.119 -1.170 1.953
-2.080 3.604 -0.013
2.080 3.604 -0.013
0.000 0.000 0.000
```

Properties
E_tot = -6.57 eV per atom
ΔE_f (raw) = -1.138 eV/atom
Density = 4.799 g cm⁻³